[1]
Entry from Alexandria via LeMat-Bulk: an optimized crystal structure of PtAu2Br (PBE).

Cell lengths 6.7364, 6.7364, 6.7364 Å; angles 90.00, 90.00, 90.00 degrees
Last column: nearest neighbours and their distance in Å.
Space group Fm-3m (No. 225)
Inequivalent atoms, fractional coordinates:
Pt  0.0000  0.0000  0.0000  8 Au 2.92
Au  0.2500  0.2500  0.2500  4 Br 2.92, 4 Pt 2.92
Br  0.0000  0.0000  0.5000  8 Au 2.92

Computed properties:
ΔE to the lowest computed polymorph in eV per atom: 0.310
Final energy in eV per atom: -3.034
Crystal system: cubic
ΔE_f (raw) in eV/atom: 0.533



[2]
Entry from Alexandria via LeMat-Bulk: an optimized crystal structure of Pt3AuBr (PBE).

Cell lengths 5.0083, 5.0083, 5.0083 Å; angles 90.00, 90.00, 90.00 degrees
Last column: nearest neighbours and their distance in Å.
Space group Pm-3m (No. 221)
Inequivalent atoms, fractional coordinates:
Pt  0.0000  0.0000  0.5000  2 Au 2.50
Au  0.0000  0.0000  0.0000  6 Pt 2.50
Br  0.5000  0.5000  0.5000  12 Pt 3.54

Computed properties:
ΔE to the lowest computed polymorph in eV per atom: 0.303
Final energy in eV per atom: -3.162
Crystal system: cubic
ΔE_f (raw) in eV/atom: 1.452



[3]
Entry from Alexandria via LeMat-Bulk: an optimized crystal structure of PtAu3Br (PBE).

Cell lengths 5.1180, 5.1180, 5.1180 Å; angles 90.00, 90.00, 90.00 degrees
Last column: nearest neighbours and their distance in Å.
Space group Pm-3m (No. 221)
Inequivalent atoms, fractional coordinates:
Pt  0.0000  0.0000  0.0000  6 Au 2.56
Au  0.0000  0.0000  0.5000  2 Pt 2.56
Br  0.5000  0.5000  0.5000  12 Au 3.62

Computed properties:
ΔE to the lowest computed polymorph in eV per atom: 0.000
Final energy in eV per atom: -2.732
Crystal system: cubic
ΔE_f (raw) in eV/atom: 0.777



[4]
Entry from Alexandria via LeMat-Bulk: an optimized crystal structure of PtAu2Br (PBE).

Cell lengths 3.5820, 3.5820, 22.3813 Å; angles 90.00, 90.00, 120.00 degrees
Last column: nearest neighbours and their distance in Å.
Space group R3m (No. 160, hexagonal axes)
Inequivalent atoms, fractional coordinates:
Pt  0.0000  0.0000  0.0000  3 Br 2.67, 3 Au 2.68
Au  0.0000  0.0000  0.2572  3 Pt 2.68, 3 Au 2.76
Au  0.0000  0.0000  0.5092  3 Au 2.76, 3 Br 3.06
Br  0.0000  0.0000  0.7420  3 Pt 2.67

Computed properties:
ΔE to the lowest computed polymorph in eV per atom: 0.090
Final energy in eV per atom: -3.255
Crystal system: trigonal
ΔE_f (raw) in eV/atom: 0.313